First-principles (PBE-GGA) data for crystalline LaTe2W at its relaxed geometry, as listed in Alexandria via LeMat-Bulk.

Computed properties:
The formation energy without anion corrections is 165.6 meV/atom. For the total magnetization, the calculation gives 0.000 μB per cell.

```
data_LaTe2W
_chemical_formula_sum 'La4 Te8 W4'
_symmetry_space_group_name_H-M 'I -4 2 d'
_symmetry_Int_Tables_number 122
_symmetry_space_group_name_Hall 'I -4 2bw'
_cell_length_a 5.788
_cell_length_b 5.788
_cell_length_c 16.034
_cell_angle_alpha 90.00
_cell_angle_beta 90.00
_cell_angle_gamma 90.00
loop_
_atom_site_label
_atom_site_type_symbol
_atom_site_fract_x
_atom_site_fract_y
_atom_site_fract_z
La1 La 0.000 0.000 0.000
Te1 Te 0.167 0.250 0.625
W1 W 0.000 0.000 0.500
```

=====

First-principles (PBE-GGA) data for crystalline LaTe2W at its relaxed geometry, as listed in Alexandria via LeMat-Bulk.

Computed properties:
The formation energy without anion corrections is 43.1 meV/atom. For the total magnetization, the calculation gives 0.001 μB per cell.

```
data_LaTe2W
_chemical_formula_sum 'La3 Te6 W3'
_symmetry_space_group_name_H-M 'R -3 m'
_symmetry_Int_Tables_number 166
_symmetry_space_group_name_Hall '-R 3 2"'
_cell_length_a 3.5623
_cell_length_b 3.5623
_cell_length_c 27.9002
_cell_angle_alpha 90.00
_cell_angle_beta 90.00
_cell_angle_gamma 120.00
loop_
_atom_site_label
_atom_site_type_symbol
_atom_site_fract_x
_atom_site_fract_y
_atom_site_fract_z
La1 La 0.0000 0.0000 0.0000
Te1 Te 0.0000 0.0000 0.2343
W1 W 0.0000 0.0000 0.5000
```

=====

First-principles (PBE-GGA) data for crystalline LaTe2W at its relaxed geometry, as listed in Alexandria via LeMat-Bulk.

Computed properties:
The formation energy without anion corrections is 206.2 meV/atom. For the total magnetization, the calculation gives 7.713 μB per cell.

```
data_LaTe2W
_chemical_formula_sum 'La2 Te4 W2'
_symmetry_space_group_name_H-M 'I -4 m 2'
_symmetry_Int_Tables_number 119
_symmetry_space_group_name_Hall 'I -4 -2'
_cell_length_a 4.449
_cell_length_b 4.449
_cell_length_c 10.816
_cell_angle_alpha 90.00
_cell_angle_beta 90.00
_cell_angle_gamma 90.00
loop_
_atom_site_label
_atom_site_type_symbol
_atom_site_fract_x
_atom_site_fract_y
_atom_site_fract_z
La1 La 0.000 0.000 0.000
Te1 Te 0.000 0.000 0.500
Te2 Te 0.000 0.500 0.750
W1 W 0.000 0.500 0.250
```

=====

First-principles (PBE-GGA) data for crystalline LaTe2W at its relaxed geometry, as listed in Alexandria via LeMat-Bulk.

Computed properties:
The formation energy without anion corrections is -53.7 meV/atom. For the total magnetization, the calculation gives 0.000 μB per cell.

```
data_LaTe2W
_chemical_formula_sum 'La1 Te2 W1'
_symmetry_space_group_name_H-M 'P 1 2/m 1'
_symmetry_Int_Tables_number 10
_cell_length_a 3.828
_cell_length_b 4.416
_cell_length_c 6.304
_cell_angle_alpha 90.00
_cell_angle_beta 97.92
_cell_angle_gamma 90.00
loop_
_symmetry_equiv_pos_as_xyz
'x,y,z'
'-x,-y,-z'
'-x,y,-z'
'x,-y,z'
loop_
_atom_site_label
_atom_site_type_symbol
_atom_site_fract_x
_atom_site_fract_y
_atom_site_fract_z
La1 La 0.000 0.000 0.000
Te1 Te 0.373 0.500 0.731
W1 W 0.500 0.000 0.500
```

=====

First-principles (PBE-GGA) data for crystalline LaTeW2 at its relaxed geometry, as listed in Alexandria via LeMat-Bulk.

Computed properties:
The formation energy without anion corrections is 720.6 meV/atom. For the total magnetization, the calculation gives 0.000 μB per cell.

```
data_LaTeW2
_chemical_formula_sum 'La4 Te4 W8'
_symmetry_space_group_name_H-M 'I -4 2 d'
_symmetry_Int_Tables_number 122
_symmetry_space_group_name_Hall 'I -4 2bw'
_cell_length_a 4.484
_cell_length_b 4.484
_cell_length_c 19.834
_cell_angle_alpha 90.00
_cell_angle_beta 90.00
_cell_angle_gamma 90.00
loop_
_atom_site_label
_atom_site_type_symbol
_atom_site_fract_x
_atom_site_fract_y
_atom_site_fract_z
La1 La 0.000 0.000 0.000
Te1 Te 0.000 0.000 0.500
W1 W 0.144 0.250 0.625
```

=====

First-principles (PBE-GGA) data for crystalline LaTe2W at its relaxed geometry, as listed in Alexandria via LeMat-Bulk.

Computed properties:
The formation energy without anion corrections is -47.7 meV/atom. For the total magnetization, the calculation gives 0.001 μB per cell.

```
data_LaTe2W
_chemical_formula_sum 'La1 Te2 W1'
_symmetry_space_group_name_H-M 'P 4 m m'
_symmetry_Int_Tables_number 99
_cell_length_a 3.833
_cell_length_b 3.833
_cell_length_c 7.019
_cell_angle_alpha 90.00
_cell_angle_beta 90.00
_cell_angle_gamma 90.00
loop_
_symmetry_equiv_pos_as_xyz
'x,y,z'
'-y,x,z'
'-x,-y,z'
'y,-x,z'
'-x,y,z'
'y,x,z'
'x,-y,z'
'-y,-x,z'
loop_
_atom_site_label
_atom_site_type_symbol
_atom_site_fract_x
_atom_site_fract_y
_atom_site_fract_z
La1 La 0.000 0.000 0.000
Te1 Te 0.000 0.000 0.537
Te2 Te 0.500 0.500 0.236
W1 W 0.500 0.500 0.682
```

=====

Q: Among the records above, which one has the highest formation energy without anion corrections?
A: LaTeW2